La4NdBi5 | PBE | relaxed

The structure belongs to space group Immm (No. 71); the cell edges are 4.691, 6.625 and 23.419 Å and the angles 90.00°, 90.00° and 90.00°. The asymmetric unit holds La at (0.000, 0.000, 0.100), La at (0.000, 0.000, 0.301), Nd at (0.000, 0.000, 0.500), Bi at (0.000, 0.500, 0.098), Bi at (0.000, 0.500, 0.300) and Bi at (0.000, 0.500, 0.500).

As for the density of states at the Fermi level: 0.172 states/eV per atom. The energy of formation from the pure elements is -1034.8 meV/atom. The raw total energy is -108.46 eV for the cell shown.

=====

CuPSeBr2 | PBE | relaxed

The structure belongs to space group P4/mmm (No. 123); the cell edges are 4.811, 4.811 and 5.129 Å and the angles 90.00°, 90.00° and 90.00°. The asymmetric unit holds Cu at (0.000, 0.000, 0.000), P at (0.500, 0.500, 0.500), Se at (0.000, 0.000, 0.500) and Br at (0.000, 0.500, 0.000).

For the energy above the lowest structure with this stoichiometry, the calculation gives 12.6 kJ per mole of atoms. As for the density of states at the Fermi level: 0.559 states/eV per atom. The value obtained for the formation energy without anion corrections is 61.7 kJ per mole of atoms. The raw total energy is -13.14 eV for the cell shown.

=====

NaSrPaO4 | PBE | relaxed

The structure belongs to space group Imma (No. 74); the cell edges are 7.168, 7.242 and 10.193 Å and the angles 90.00°, 90.00° and 90.00°. The asymmetric unit holds Na at (0.000, 0.250, 0.095), Sr at (0.000, 0.000, 0.500), Pa at (0.250, 0.250, 0.750), O at (0.000, 0.057, 0.746) and O at (0.234, 0.250, 0.544).

As for the density of states at the Fermi level: 0.000 states/eV per atom. The value obtained for the formation energy without anion corrections is -288.5 kJ per mole of atoms. The raw total energy is -213.03 eV for the cell shown.

=====

LiSnClF2 | PBE | relaxed

The structure belongs to space group P2_1/m (No. 11); the cell edges are 6.710, 4.315 and 7.515 Å and the angles 90.00°, 111.55° and 90.00°. The asymmetric unit holds Li at (0.154, 0.250, 0.070), Sn at (0.254, 0.750, 0.766), Cl at (0.166, 0.250, 0.398), F at (0.154, 0.750, 0.016) and F at (0.301, 0.250, 0.896).

For the energy above the lowest structure with this stoichiometry, the calculation gives 0.0 kJ per mole of atoms. As for the density of states at the Fermi level: 0.000 states/eV per atom. The value obtained for the formation energy without anion corrections is -205.3 kJ per mole of atoms. The raw total energy is -44.29 eV for the cell shown.

=====

HgAs2Ir | PBE | relaxed

The structure belongs to space group F-43m (No. 216); the cell edges are 6.653, 6.653 and 6.653 Å and the angles 90.00°, 90.00° and 90.00°. The asymmetric unit holds Hg at (0.000, 0.000, 0.000), As at (0.000, 0.000, 0.500), As at (0.250, 0.250, 0.750) and Ir at (0.250, 0.250, 0.250).

As for the density of states at the Fermi level: 1.000 states/eV per atom. The energy of formation from the pure elements is 624.4 meV/atom. The raw total energy is -63.86 eV for the cell shown.

=====

CdTeSe | PBE | relaxed

The structure belongs to space group C2/m (No. 12); the cell edges are 12.617, 4.215 and 8.611 Å and the angles 90.00°, 124.57° and 90.00°. The asymmetric unit holds Cd at (0.183, 0.000, 0.094), Te at (0.152, 0.000, 0.399) and Se at (0.083, 0.500, 0.853).

For the energy above the lowest structure with this stoichiometry, the calculation gives 0.6 kJ per mole of atoms. As for the density of states at the Fermi level: 0.026 states/eV per atom. The value obtained for the formation energy without anion corrections is -29.2 kJ per mole of atoms. The raw total energy is -33.80 eV for the cell shown.

=====

NaNbCuSn2 | PBE | relaxed

The structure belongs to space group P4/mmm (No. 123); the cell edges are 5.388, 5.388 and 4.983 Å and the angles 90.00°, 90.00° and 90.00°. The asymmetric unit holds Na at (0.000, 0.000, 0.000), Nb at (0.500, 0.500, 0.500), Cu at (0.500, 0.500, 0.000) and Sn at (0.000, 0.500, 0.500).

As for the density of states at the Fermi level: 0.807 states/eV per atom. The energy of formation from the pure elements is 452.7 meV/atom. The raw total energy is -21.23 eV for the cell shown.

=====

Ba2LiSi | PBE | relaxed

The structure belongs to space group P4/mmm (No. 123); the cell edges are 5.550, 5.550 and 4.432 Å and the angles 90.00°, 90.00° and 90.00°. The asymmetric unit holds Ba at (0.000, 0.500, 0.000), Li at (0.000, 0.000, 0.500) and Si at (0.500, 0.500, 0.500).

As for the density of states at the Fermi level: 0.921 states/eV per atom. The value obtained for the formation energy without anion corrections is -6.6 kJ per mole of atoms. The raw total energy is -11.46 eV for the cell shown.

=====

BaYBi2 | PBE | relaxed

The structure belongs to space group R-3m (No. 166, hexagonal axes); the cell edges are 4.7657, 4.7657 and 23.5617 Å and the angles 90.00°, 90.00° and 120.00°. The asymmetric unit holds Ba at (0.0000, 0.0000, 0.0000), Y at (0.0000, 0.0000, 0.5000) and Bi at (0.0000, 0.0000, 0.2361).

For the energy above the lowest structure with this stoichiometry, the calculation gives 0.0 kJ per mole of atoms. As for the density of states at the Fermi level: 0.882 states/eV per atom. The energy of formation from the pure elements is -787.8 meV/atom. The raw total energy is -57.90 eV for the cell shown.

=====

TcNi4W | PBE | relaxed

The structure belongs to space group P-1 (No. 2); the cell edges are 4.633, 6.176 and 6.248 Å and the angles 109.00°, 100.98° and 109.29°. The asymmetric unit holds Tc at (0.188, 0.390, 0.479), Ni at (0.172, 0.650, 0.917), Ni at (0.282, 0.797, 0.376), Ni at (0.380, 0.457, 0.142), Ni at (0.389, 0.095, 0.190) and W at (0.185, 0.085, 0.753).

For the energy above the lowest structure with this stoichiometry, the calculation gives 9.7 kJ per mole of atoms. As for the density of states at the Fermi level: 1.022 states/eV per atom. The energy of formation from the pure elements is 90.5 meV/atom. The raw total energy is -91.80 eV for the cell shown.

=====

PaH2Br5 | PBE | relaxed

The structure belongs to space group Cmcm (No. 63); the cell edges are 5.751, 15.597 and 13.939 Å and the angles 90.00°, 90.00° and 90.00°. The asymmetric unit holds Pa at (0.000, 0.250, 0.250), H at (0.000, 0.127, 0.018), Br at (0.000, 0.094, 0.116), Br at (0.000, 0.267, 0.750) and Br at (0.000, 0.361, 0.096).

For the energy above the lowest structure with this stoichiometry, the calculation gives 0.0 kJ per mole of atoms. As for the density of states at the Fermi level: 0.620 states/eV per atom. The raw total energy is -119.22 eV for the cell shown.

=====

Tm2NpH | PBE | relaxed

The structure belongs to space group R-3m (No. 166, hexagonal axes); the cell edges are 3.2889, 3.2889 and 27.6953 Å and the angles 90.00°, 90.00° and 120.00°. The asymmetric unit holds Tm at (0.0000, 0.0000, 0.1178), Np at (0.0000, 0.0000, 0.0000) and H at (0.0000, 0.0000, 0.5000).

As for the density of states at the Fermi level: 1.832 states/eV per atom. The raw total energy is -72.64 eV for the cell shown.

=====

BaSi2Hg | PBE | relaxed

The structure belongs to space group Cm (No. 8); the cell edges are 7.686, 4.029 and 7.317 Å and the angles 90.00°, 107.72° and 90.00°. The asymmetric unit holds Ba at (0.000, 0.000, 0.000), Si at (0.264, 0.500, 0.320), Si at (0.455, 0.000, 0.385) and Hg at (0.212, 0.000, 0.642).

As for the density of states at the Fermi level: 0.348 states/eV per atom. The value obtained for the formation energy without anion corrections is -10.4 kJ per mole of atoms. The raw total energy is -27.00 eV for the cell shown.

=====

Pr4MgRu | PBE | relaxed

The structure belongs to space group F-43m (No. 216); the cell edges are 14.236, 14.236 and 14.236 Å and the angles 90.00°, 90.00° and 90.00°. The asymmetric unit holds Pr at (0.000, 0.000, 0.189), Pr at (0.061, 0.250, 0.250), Pr at (0.094, 0.094, 0.594), Mg at (0.172, 0.172, 0.828) and Ru at (0.112, 0.112, 0.388).

For the energy above the lowest structure with this stoichiometry, the calculation gives 0.0 kJ per mole of atoms. As for the density of states at the Fermi level: 1.114 states/eV per atom. The energy of formation from the pure elements is -169.2 meV/atom. The raw total energy is -496.06 eV for the cell shown.

=====

ZrTiZnGa | PBE | relaxed

The structure belongs to space group F-43m (No. 216); the cell edges are 6.521, 6.521 and 6.521 Å and the angles 90.00°, 90.00° and 90.00°. The asymmetric unit holds Zr at (0.000, 0.000, 0.000), Ti at (0.000, 0.000, 0.500), Zn at (0.250, 0.250, 0.750) and Ga at (0.250, 0.250, 0.250).

For the energy above the lowest structure with this stoichiometry, the calculation gives 5.4 kJ per mole of atoms. As for the density of states at the Fermi level: 1.059 states/eV per atom. The energy of formation from the pure elements is -301.6 meV/atom. The raw total energy is -87.80 eV for the cell shown.

=====

Ce3ScS4 | PBE | relaxed

The structure belongs to space group R-3m (No. 166, hexagonal axes); the cell edges are 3.9145, 3.9145 and 39.0100 Å and the angles 90.00°, 90.00° and 120.00°. The asymmetric unit holds Ce at (0.0000, 0.0000, 0.0000), Ce at (0.0000, 0.0000, 0.2470), Sc at (0.0000, 0.0000, 0.5000), S at (0.0000, 0.0000, 0.1309) and S at (0.0000, 0.0000, 0.3767).

As for the density of states at the Fermi level: 1.700 states/eV per atom. The value obtained for the formation energy without anion corrections is -191.9 kJ per mole of atoms. The raw total energy is -169.67 eV for the cell shown.

=====

La6As3S2I | PBE | relaxed

The structure belongs to space group C2/m (No. 12); the cell edges are 18.851, 4.337 and 8.708 Å and the angles 90.00°, 102.56° and 90.00°. The asymmetric unit holds La at (0.004, 0.000, 0.276), La at (0.168, 0.500, 0.583), La at (0.177, 0.500, 0.093), As at (0.000, 0.500, 0.500), As at (0.162, 0.000, 0.834), S at (0.169, 0.000, 0.335) and I at (0.000, 0.500, 0.000).

As for the density of states at the Fermi level: 0.485 states/eV per atom. The value obtained for the formation energy without anion corrections is -164.2 kJ per mole of atoms. The raw total energy is -147.47 eV for the cell shown.

=====

CaSmPu2N4 | PBE | relaxed

The structure belongs to space group I4/mmm (No. 139); the cell edges are 4.990, 4.990 and 9.761 Å and the angles 90.00°, 90.00° and 90.00°. The asymmetric unit holds Ca at (0.000, 0.000, 0.000), Sm at (0.000, 0.000, 0.500), Pu at (0.000, 0.500, 0.250), N at (0.000, 0.000, 0.253) and N at (0.000, 0.500, 0.000).

As for the density of states at the Fermi level: 1.410 states/eV per atom. The value obtained for the formation energy without anion corrections is -117.1 kJ per mole of atoms. The raw total energy is -156.79 eV for the cell shown.

=====

La7Pm12Er | PBE | relaxed

The structure belongs to space group Im-3 (No. 204); the cell edges are 11.586, 11.586 and 11.586 Å and the angles 90.00°, 90.00° and 90.00°. The asymmetric unit holds La at (0.000, 0.000, 0.500), La at (0.250, 0.250, 0.250), Pm at (0.000, 0.247, 0.246) and Er at (0.000, 0.000, 0.000).

As for the density of states at the Fermi level: 1.761 states/eV per atom. The energy of formation from the pure elements is 569.0 meV/atom. The raw total energy is -169.36 eV for the cell shown.

=====

K2SbAu | PBE | relaxed

The structure belongs to space group F-43m (No. 216); the cell edges are 7.688, 7.688 and 7.688 Å and the angles 90.00°, 90.00° and 90.00°. The asymmetric unit holds K at (0.000, 0.000, 0.000), K at (0.250, 0.250, 0.250), Sb at (0.000, 0.000, 0.500) and Au at (0.250, 0.250, 0.750).

As for the density of states at the Fermi level: 0.083 states/eV per atom. The value obtained for the formation energy without anion corrections is -23.1 kJ per mole of atoms. The raw total energy is -42.21 eV for the cell shown.

=====

SbRuPb | PBE | relaxed

The structure belongs to space group C2/m (No. 12); the cell edges are 13.289, 4.104 and 5.346 Å and the angles 90.00°, 99.96° and 90.00°. The asymmetric unit holds Sb at (0.166, 0.000, 0.329), Ru at (0.229, 0.000, 0.837) and Pb at (0.074, 0.500, 0.792).

For the energy above the lowest structure with this stoichiometry, the calculation gives 5.9 kJ per mole of atoms. As for the density of states at the Fermi level: 0.658 states/eV per atom. The value obtained for the formation energy without anion corrections is 7.7 kJ per mole of atoms. The raw total energy is -67.47 eV for the cell shown.

=====

Ti2SbTe3 | PBE | relaxed

The structure belongs to space group Cmcm (No. 63); the cell edges are 9.775, 9.212 and 6.147 Å and the angles 90.00°, 90.00° and 90.00°. The asymmetric unit holds Ti at (0.249, 0.000, 0.000), Sb at (0.000, 0.413, 0.250), Te at (0.000, 0.098, 0.250) and Te at (0.164, 0.254, 0.750).

As for the density of states at the Fermi level: 0.755 states/eV per atom. The value obtained for the formation energy without anion corrections is -40.2 kJ per mole of atoms. The raw total energy is -127.34 eV for the cell shown.

=====

NaVC | PBE | relaxed

The structure belongs to space group P-1 (No. 2); the cell edges are 2.931, 2.932 and 10.298 Å and the angles 89.91°, 89.71° and 90.00°. The asymmetric unit holds Na at (0.244, 0.248, 0.349), V at (0.252, 0.251, 0.907) and C at (0.248, 0.249, 0.104).

For the energy above the lowest structure with this stoichiometry, the calculation gives 0.0 kJ per mole of atoms. As for the density of states at the Fermi level: 0.512 states/eV per atom. The energy of formation from the pure elements is -97.5 meV/atom. The raw total energy is -39.91 eV for the cell shown.